## A
# KWCl3

A relaxed structure of KWCl3 (PBE, the Alexandria database).

```
data_KWCl3
_cell_length_a 5.027
_cell_length_b 5.027
_cell_length_c 5.027
_cell_angle_alpha 90.00
_cell_angle_beta 90.00
_cell_angle_gamma 90.00
_space_group_name_H-M_alt 'P 1'
_space_group_IT_number 1
loop_
_space_group_symop_operation_xyz
'x,y,z'
loop_
_atom_site_label
_atom_site_type_symbol
_atom_site_fract_x
_atom_site_fract_y
_atom_site_fract_z
K1 K 0.000 0.000 0.000
W1 W 0.500 0.500 0.500
Cl1 Cl 0.000 0.500 0.500
Cl2 Cl 0.500 0.000 0.500
Cl3 Cl 0.500 0.500 0.000
```

## B
# KWCl3

A relaxed structure of KWCl3 (PBE, the Alexandria database).

```
data_KWCl3
_cell_length_a 8.677
_cell_length_b 8.677
_cell_length_c 3.374
_cell_angle_alpha 101.17
_cell_angle_beta 101.17
_cell_angle_gamma 86.70
_space_group_name_H-M_alt 'P 1'
_space_group_IT_number 1
loop_
_space_group_symop_operation_xyz
'x,y,z'
loop_
_atom_site_label
_atom_site_type_symbol
_atom_site_fract_x
_atom_site_fract_y
_atom_site_fract_z
K1 K 0.150 0.150 0.150
K2 K 0.850 0.850 0.850
W1 W 0.401 0.599 0.500
W2 W 0.599 0.401 0.500
Cl1 Cl 0.152 0.848 0.500
Cl2 Cl 0.220 0.491 0.856
Cl3 Cl 0.491 0.220 0.856
Cl4 Cl 0.509 0.780 0.144
Cl5 Cl 0.780 0.509 0.144
Cl6 Cl 0.848 0.152 0.500
```

## C
# KWCl3

A relaxed structure of KWCl3 (PBE, the Alexandria database).

```
data_KWCl3
_cell_length_a 5.504
_cell_length_b 5.504
_cell_length_c 5.504
_cell_angle_alpha 90.00
_cell_angle_beta 90.00
_cell_angle_gamma 90.00
_space_group_name_H-M_alt 'P 1'
_space_group_IT_number 1
loop_
_space_group_symop_operation_xyz
'x,y,z'
loop_
_atom_site_label
_atom_site_type_symbol
_atom_site_fract_x
_atom_site_fract_y
_atom_site_fract_z
K1 K 0.000 0.000 0.000
W1 W 0.500 0.500 0.500
Cl1 Cl 0.000 0.000 0.500
Cl2 Cl 0.000 0.500 0.000
Cl3 Cl 0.500 0.000 0.000
```

B wins, 0.386 eV/atom ahead of the next structure.